--- w ---
Cs4PaSe5 | PBE | relaxed

Properties
Its volume is 899.20 Å³/cell.

abc: 11.064 11.064 7.345
angles: 90.00 90.00 90.00
Space group I4 (No. 79)
One atom of each set of equivalent atoms:
1 Cs 0.088 0.701 0.000 x8
2 Pa 0.000 0.000 0.550 x2
3 Se 0.000 0.000 0.914 x2
4 Se 0.076 0.767 0.495 x8



--- x ---
Cs4PaSe5 | PBE | relaxed

Properties
Its volume is 856.42 Å³/cell.

abc: 12.165 12.165 5.787
angles: 90.00 90.00 90.00
Space group I4/mmm (No. 139)
One atom of each set of equivalent atoms:
1 Cs 0.000 0.279 0.000 x8
2 Pa 0.000 0.000 0.500 x2
3 Se 0.000 0.000 0.000 x2
4 Se 0.160 0.160 0.500 x8



Which of them is the least stable? Correct choice: x.



--- w ---
Cs3PaSe4 | PBE | relaxed

Properties
Its volume is 727.83 Å³/cell.

abc: 8.782 8.782 9.437
angles: 90.00 90.00 90.00
Space group I4/mmm (No. 139)
One atom of each set of equivalent atoms:
1 Cs 0.000 0.000 0.000 x2
2 Cs 0.000 0.500 0.250 x4
3 Pa 0.000 0.000 0.500 x2
4 Se 0.215 0.215 0.500 x8



--- x ---
Cs3PaSe4 | PBE | relaxed

Properties
Its volume is 647.60 Å³/cell.

abc: 9.994 14.372 4.508
angles: 90.00 90.00 90.00
Space group Cmmm (No. 65)
One atom of each set of equivalent atoms:
1 Cs 0.000 0.000 0.000 x2
2 Cs 0.250 0.250 0.500 x4
3 Pa 0.000 0.500 0.000 x2
4 Se 0.000 0.314 0.000 x4
5 Se 0.188 0.500 0.500 x4



Which of them is the least stable? Correct choice: w.



--- w ---
CsPa2Se4 | PBE | relaxed

Properties
Its volume is 875.27 Å³/cell.

abc: 4.246 14.033 14.690
angles: 90.00 90.00 90.00
Space group Cmcm (No. 63)
One atom of each set of equivalent atoms:
1 Cs 0.000 0.108 0.250 x4
2 Pa 0.000 0.371 0.062 x8
3 Se 0.000 0.000 0.000 x4
4 Se 0.000 0.261 0.603 x8
5 Se 0.000 0.408 0.250 x4



--- x ---
CsPa2Se4 | PBE | relaxed

Properties
Its volume is 999.16 Å³/cell.

abc: 8.428 8.428 14.068
angles: 90.00 90.00 90.00
Space group I4_1/amd (No. 141, origin choice 2)
One atom of each set of equivalent atoms:
1 Cs 0.000 0.250 0.375 x4
2 Pa 0.000 0.000 0.000 x8
3 Se 0.000 0.020 0.793 x16



Which of them is the least stable? Correct choice: x.



--- w ---
CsPa2Te4 | PBE | relaxed

Properties
Its volume is 600.05 Å³/cell.

abc: 19.387 4.444 7.145
angles: 90.00 102.91 90.00
Space group C2/m (No. 12)
One atom of each set of equivalent atoms:
1 Cs 0.000 0.000 0.000 x2
2 Pa 0.244 0.500 0.710 x4
3 Te 0.139 0.000 0.525 x4
4 Te 0.164 0.500 0.045 x4



--- x ---
CsPa2Te4 | PBE | relaxed

Properties
Its volume is 1062.79 Å³/cell.

abc: 4.500 15.036 15.707
angles: 90.00 90.00 90.00
Space group Cmcm (No. 63)
One atom of each set of equivalent atoms:
1 Cs 0.000 0.103 0.250 x4
2 Pa 0.000 0.368 0.061 x8
3 Te 0.000 0.000 0.000 x4
4 Te 0.000 0.264 0.608 x8
5 Te 0.000 0.406 0.250 x4



Which of them is the least stable? Correct choice: x.



--- w ---
CsPa4Te8 | PBE | relaxed

Properties
Its volume is 1205.59 Å³/cell.

abc: 8.2859 8.2859 20.2765
angles: 90.00 90.00 120.00
Space group P6_3/mmc (No. 194)
One atom of each set of equivalent atoms:
1 Cs 0.0000 0.0000 0.0000 x2
2 Pa 0.0000 0.0000 0.2500 x2
3 Pa 0.0035 0.5017 0.2500 x6
4 Te 0.1676 0.3352 0.6540 x12
5 Te 0.3333 0.6667 0.1528 x4



--- x ---
CsPa4Te8 | PBE | relaxed

Properties
Its volume is 2325.46 Å³/cell.

abc: 13.249 13.249 13.249
angles: 90.00 90.00 90.00
Space group F-43m (No. 216)
One atom of each set of equivalent atoms:
1 Cs 0.000 0.000 0.000 x4
2 Pa 0.121 0.121 0.621 x16
3 Te 0.114 0.114 0.386 x16
4 Te 0.147 0.147 0.853 x16



Which of them is the least stable? Correct choice: x.



--- w ---
CsPb | PBE | relaxed

Properties
Its volume is 674.13 Å³/cell.

abc: 6.255 13.061 8.251
angles: 90.00 90.00 90.00
Space group Pmmn (No. 59, origin choice 2)
One atom of each set of equivalent atoms:
1 Cs 0.250 0.060 0.139 x4
2 Cs 0.250 0.750 0.539 x2
3 Pb 0.250 0.035 0.616 x4
4 Pb 0.250 0.250 0.736 x2



--- x ---
CsPb | PBE | relaxed

Properties
Its volume is 527.04 Å³/cell.

abc: 4.867 10.438 10.373
angles: 90.00 90.00 90.00
Space group Imma (No. 74)
One atom of each set of equivalent atoms:
1 Cs 0.000 0.000 0.000 x4
2 Pb 0.000 0.250 0.337 x4



--- y ---
CsPb | PBE | relaxed

Properties
Its volume is 390.93 Å³/cell.

abc: 4.844 6.722 12.007
angles: 90.00 90.00 90.00
Space group Imma (No. 74)
One atom of each set of equivalent atoms:
1 Cs 0.000 0.250 0.092 x4
2 Pb 0.000 0.250 0.674 x4



Which of them is the least stable? Correct choice: w.



--- w ---
CsPb | PBE | relaxed

Properties
Its volume is 641.02 Å³/cell.

abc: 6.142 14.588 7.154
angles: 90.00 90.00 90.00
Space group Amm2 (No. 38)
One atom of each set of equivalent atoms:
1 Cs 0.000 0.000 0.000 x2
2 Cs 0.000 0.160 0.454 x4
3 Pb 0.500 0.000 0.649 x2
4 Pb 0.500 0.191 0.817 x4



--- x ---
CsPb | PBE | relaxed

Properties
Its volume is 3192.53 Å³/cell.

abc: 12.503 12.503 20.422
angles: 90.00 90.00 90.00
Space group I4_1/acd (No. 142, origin choice 2)
One atom of each set of equivalent atoms:
1 Cs 0.120 0.130 0.125 x16
2 Cs 0.139 0.000 0.750 x16
3 Pb 0.060 0.140 0.930 x32



Which of them is the least stable? Correct choice: w.



--- w ---
CsPb | PBE | relaxed

Properties
Its volume is 1470.29 Å³/cell.

abc: 11.371 11.371 11.371
angles: 90.00 90.00 90.00
Space group I-43m (No. 217)
One atom of each set of equivalent atoms:
1 Cs 0.208 0.208 0.208 x8
2 Pb 0.098 0.098 0.902 x8



--- x ---
CsPb | PBE | relaxed

Properties
Its volume is 216.08 Å³/cell.

abc: 6.115 4.842 7.912
angles: 90.00 112.74 90.00
Space group P2_1/m (No. 11)
One atom of each set of equivalent atoms:
1 Cs 0.147 0.250 0.293 x2
2 Pb 0.436 0.250 0.874 x2



Which of them is the least stable? Correct choice: w.



--- w ---
CsPb12 | PBE | relaxed

Properties
Its volume is 2494.39 Å³/cell.

abc: 13.562 13.562 13.562
angles: 90.00 90.00 90.00
Space group Fm-3m (No. 225)
One atom of each set of equivalent atoms:
1 Cs 0.000 0.000 0.000 x4
2 Pb 0.000 0.168 0.332 x48



--- x ---
CsPb12 | PBE | relaxed

Properties
Its volume is 900.06 Å³/cell.

abc: 11.643 11.643 6.640
angles: 90.00 90.00 90.00
Space group I4/mmm (No. 139)
One atom of each set of equivalent atoms:
1 Cs 0.000 0.000 0.000 x2
2 Pb 0.000 0.224 0.500 x8
3 Pb 0.000 0.356 0.000 x8
4 Pb 0.250 0.250 0.250 x8



Which of them is the least stable? Correct choice: w.